Record 1
# ZrAsW2 (GGA-PBEsol, optimized geometry)
data_ZrAsW2
_chemical_formula_sum 'Zr2 As2 W4'
_cell_length_a 4.2303
_cell_length_b 4.2303
_cell_length_c 7.4367
_cell_angle_alpha 90.00
_cell_angle_beta 90.00
_cell_angle_gamma 90.00
_space_group_name_H-M_alt 'I -4 m 2'
_space_group_IT_number 119
_space_group_name_Hall 'I -4 -2'
loop_
_atom_site_label
_atom_site_type_symbol
_atom_site_fract_x
_atom_site_fract_y
_atom_site_fract_z
_atom_site_occupancy
Zr1 Zr 0.0000 0.0000 0.0000 1
As1 As 0.0000 0.5000 0.2500 1
W1 W 0.0000 0.0000 0.5000 1
W2 W 0.0000 0.5000 0.7500 1
# Total energy ... -41.0 eV per formula unit
# N(E_F) ... 3.25 states/eV/f.u.
# Energy of formation ... 0.19 eV/atom

Record 2
# ZrAsW2 (GGA-PBEsol, optimized geometry)
data_ZrAsW2
_chemical_formula_sum 'Zr1 As1 W2'
_cell_length_a 3.4067
_cell_length_b 3.4067
_cell_length_c 5.7749
_cell_angle_alpha 90.00
_cell_angle_beta 90.00
_cell_angle_gamma 90.00
_space_group_name_H-M_alt 'P 4/m m m'
_space_group_IT_number 123
_space_group_name_Hall '-P 4 2'
loop_
_atom_site_label
_atom_site_type_symbol
_atom_site_fract_x
_atom_site_fract_y
_atom_site_fract_z
_atom_site_occupancy
Zr1 Zr 0.0000 0.0000 0.0000 1
As1 As 0.0000 0.0000 0.5000 1
W1 W 0.5000 0.5000 0.2715 1
# Total energy ... -41.1 eV per formula unit
# N(E_F) ... 2.50 states/eV/f.u.
# Energy of formation ... 0.18 eV/atom

Record 3
# ZrAs2W (GGA-PBEsol, optimized geometry)
data_ZrAs2W
_chemical_formula_sum 'Zr1 As2 W1'
_cell_length_a 3.4158
_cell_length_b 3.4158
_cell_length_c 5.8773
_cell_angle_alpha 90.00
_cell_angle_beta 90.00
_cell_angle_gamma 90.00
_space_group_name_H-M_alt 'P 4 m m'
_space_group_IT_number 99
_space_group_name_Hall 'P 4 -2'
loop_
_atom_site_label
_atom_site_type_symbol
_atom_site_fract_x
_atom_site_fract_y
_atom_site_fract_z
_atom_site_occupancy
Zr1 Zr 0.0000 0.0000 0.0000 1
As1 As 0.0000 0.0000 0.5101 1
As2 As 0.5000 0.5000 0.1920 1
W1 W 0.5000 0.5000 0.6863 1
# Total energy ... -34.8 eV per formula unit
# N(E_F) ... 1.70 states/eV/f.u.
# Energy of formation ... -0.42 eV/atom

Record 4
# ZrAs2W (GGA-PBEsol, optimized geometry)
data_ZrAs2W
_chemical_formula_sum 'Zr2 As4 W2'
_cell_length_a 9.3082
_cell_length_b 3.2806
_cell_length_c 4.5627
_cell_angle_alpha 90.00
_cell_angle_beta 103.19
_cell_angle_gamma 90.00
_space_group_name_H-M_alt 'C 1 m 1'
_space_group_IT_number 8
_space_group_name_Hall 'C -2y'
loop_
_atom_site_label
_atom_site_type_symbol
_atom_site_fract_x
_atom_site_fract_y
_atom_site_fract_z
_atom_site_occupancy
Zr1 Zr 0.0000 0.0000 0.0000 1
As1 As 0.0001 0.5000 0.5027 1
As2 As 0.2656 0.0000 0.8759 1
W1 W 0.2763 0.5000 0.3989 1
# Total energy ... -34.7 eV per formula unit
# N(E_F) ... 1.15 states/eV/f.u.
# Energy of formation ... -0.39 eV/atom

Record 5
# Zr4AsW (GGA-PBEsol, optimized geometry)
data_Zr4AsW
_chemical_formula_sum 'Zr16 As4 W4'
_cell_length_a 7.7990
_cell_length_b 7.7990
_cell_length_c 7.7990
_cell_angle_alpha 90.00
_cell_angle_beta 90.00
_cell_angle_gamma 90.00
_space_group_name_H-M_alt 'F -4 3 m'
_space_group_IT_number 216
_space_group_name_Hall 'F -4 2 3'
loop_
_atom_site_label
_atom_site_type_symbol
_atom_site_fract_x
_atom_site_fract_y
_atom_site_fract_z
_atom_site_occupancy
Zr1 Zr 0.1233 0.1233 0.1233 1
As1 As 0.0000 0.0000 0.5000 1
W1 W 0.2500 0.2500 0.7500 1
# Total energy ... -51.9 eV per formula unit
# N(E_F) ... 7.53 states/eV/f.u.
# Energy of formation ... 0.56 eV/atom

Record 6
# ZrAsW2 (GGA-PBEsol, optimized geometry)
data_ZrAsW2
_chemical_formula_sum 'Zr2 As2 W4'
_cell_length_a 3.3201
_cell_length_b 4.7867
_cell_length_c 8.4996
_cell_angle_alpha 90.00
_cell_angle_beta 90.00
_cell_angle_gamma 90.00
_space_group_name_H-M_alt 'C m m m'
_space_group_IT_number 65
_space_group_name_Hall '-C 2 2'
loop_
_atom_site_label
_atom_site_type_symbol
_atom_site_fract_x
_atom_site_fract_y
_atom_site_fract_z
_atom_site_occupancy
Zr1 Zr 0.0000 0.0000 0.0000 1
As1 As 0.0000 0.0000 0.5000 1
W1 W 0.0000 0.5000 0.2708 1
# Total energy ... -40.8 eV per formula unit
# N(E_F) ... 2.35 states/eV/f.u.
# Energy of formation ... 0.24 eV/atom

Record 7
# Y3As2 (GGA-PBEsol, optimized geometry)
data_Y3As2
_chemical_formula_sum 'Y9 As6'
_cell_length_a 4.0020
_cell_length_b 4.0020
_cell_length_c 29.0209
_cell_angle_alpha 90.00
_cell_angle_beta 90.00
_cell_angle_gamma 120.00
_space_group_name_H-M_alt 'R -3 m'
_space_group_IT_number 166
_space_group_name_Hall '-R 3 2"'
loop_
_atom_site_label
_atom_site_type_symbol
_atom_site_fract_x
_atom_site_fract_y
_atom_site_fract_z
_atom_site_occupancy
Y1 Y 0.0000 0.0000 0.0000 1
Y2 Y 0.0000 0.0000 0.2212 1
As1 As 0.0000 0.0000 0.3914 1
# Total energy ... -36.6 eV per formula unit
# N(E_F) ... 3.84 states/eV/f.u.
# Energy of formation ... -1.18 eV/atom

Record 8
# YAs8 (GGA-PBEsol, optimized geometry)
data_YAs8
_chemical_formula_sum 'Y2 As16'
_cell_length_a 10.1359
_cell_length_b 10.1359
_cell_length_c 3.4921
_cell_angle_alpha 90.00
_cell_angle_beta 90.00
_cell_angle_gamma 90.00
_space_group_name_H-M_alt 'I 4/m m m'
_space_group_IT_number 139
_space_group_name_Hall '-I 4 2'
loop_
_atom_site_label
_atom_site_type_symbol
_atom_site_fract_x
_atom_site_fract_y
_atom_site_fract_z
_atom_site_occupancy
Y1 Y 0.0000 0.0000 0.0000 1
As1 As 0.0000 0.2952 0.0000 1
As2 As 0.1678 0.1678 0.5000 1
# Total energy ... -47.9 eV per formula unit
# N(E_F) ... 6.01 states/eV/f.u.
# Energy of formation ... -0.03 eV/atom

Record 9
# YAs3 (GGA-PBEsol, optimized geometry)
data_YAs3
_chemical_formula_sum 'Y1 As3'
_cell_length_a 4.3011
_cell_length_b 4.3011
_cell_length_c 4.3011
_cell_angle_alpha 90.00
_cell_angle_beta 90.00
_cell_angle_gamma 90.00
_space_group_name_H-M_alt 'P m -3 m'
_space_group_IT_number 221
_space_group_name_Hall '-P 4 2 3'
loop_
_atom_site_label
_atom_site_type_symbol
_atom_site_fract_x
_atom_site_fract_y
_atom_site_fract_z
_atom_site_occupancy
Y1 Y 0.0000 0.0000 0.0000 1
As1 As 0.0000 0.5000 0.5000 1
# Total energy ... -24.4 eV per formula unit
# N(E_F) ... 1.74 states/eV/f.u.
# Energy of formation ... -0.56 eV/atom

Record 10
# YAs3 (GGA-PBEsol, optimized geometry)
data_YAs3
_chemical_formula_sum 'Y4 As12'
_cell_length_a 5.9266
_cell_length_b 10.1170
_cell_length_c 5.4480
_cell_angle_alpha 90.00
_cell_angle_beta 90.00
_cell_angle_gamma 90.00
_space_group_name_H-M_alt 'C m c m'
_space_group_IT_number 63
_space_group_name_Hall '-C 2c 2'
loop_
_atom_site_label
_atom_site_type_symbol
_atom_site_fract_x
_atom_site_fract_y
_atom_site_fract_z
_atom_site_occupancy
Y1 Y 0.0000 0.1581 0.2500 1
As1 As 0.0000 0.3227 0.7500 1
As2 As 0.2343 0.0967 0.7500 1
# Total energy ... -24.4 eV per formula unit
# N(E_F) ... 1.68 states/eV/f.u.
# Energy of formation ... -0.56 eV/atom

Record 11
# Y3As2 (GGA-PBEsol, optimized geometry)
data_Y3As2
_chemical_formula_sum 'Y3 As2'
_cell_length_a 4.0234
_cell_length_b 4.0234
_cell_length_c 9.4291
_cell_angle_alpha 90.00
_cell_angle_beta 90.00
_cell_angle_gamma 120.00
_space_group_name_H-M_alt 'P -3 m 1'
_space_group_IT_number 164
_space_group_name_Hall '-P 3 2"'
loop_
_atom_site_label
_atom_site_type_symbol
_atom_site_fract_x
_atom_site_fract_y
_atom_site_fract_z
_atom_site_occupancy
Y1 Y 0.0000 0.0000 0.0000 1
Y2 Y 0.3333 0.6667 0.3408 1
As1 As 0.3333 0.6667 0.8223 1
# Total energy ... -36.8 eV per formula unit
# N(E_F) ... 1.89 states/eV/f.u.
# Energy of formation ... -1.21 eV/atom

Record 12
# YAs2 (GGA-PBEsol, optimized geometry)
data_YAs2
_chemical_formula_sum 'Y4 As8'
_cell_length_a 3.7809
_cell_length_b 3.7809
_cell_length_c 20.4533
_cell_angle_alpha 90.00
_cell_angle_beta 90.00
_cell_angle_gamma 90.00
_space_group_name_H-M_alt 'I 41/a m d'
_space_group_IT_number 141
loop_
_space_group_symop_operation_xyz
'x,y,z'
'-x,-y,-z'
'-y+1/4,x+3/4,z+1/4'
'y+1/4,-x+3/4,-z+1/4'
'-x+1/2,-y,z+1/2'
'x+1/2,y,-z+1/2'
'y+1/4,-x+1/4,z+3/4'
'-y+1/4,x+1/4,-z+3/4'
'x,-y,-z'
'-x,y,z'
'-y+1/4,-x+1/4,-z+3/4'
'y+1/4,x+1/4,z+3/4'
'-x+1/2,y,-z+1/2'
'x+1/2,-y,z+1/2'
'y+1/4,x+3/4,-z+1/4'
'-y+1/4,-x+3/4,z+1/4'
'x+1/2,y+1/2,z+1/2'
'-x+1/2,-y+1/2,-z+1/2'
'-y+3/4,x+1/4,z+3/4'
'y+3/4,-x+1/4,-z+3/4'
'-x,-y+1/2,z'
'x,y+1/2,-z'
'y+3/4,-x+3/4,z+1/4'
'-y+3/4,x+3/4,-z+1/4'
'x+1/2,-y+1/2,-z+1/2'
'-x+1/2,y+1/2,z+1/2'
'-y+3/4,-x+3/4,-z+1/4'
'y+3/4,x+3/4,z+1/4'
'-x,y+1/2,-z'
'x,-y+1/2,z'
'y+3/4,x+1/4,-z+3/4'
'-y+3/4,-x+1/4,z+3/4'
loop_
_atom_site_label
_atom_site_type_symbol
_atom_site_fract_x
_atom_site_fract_y
_atom_site_fract_z
_atom_site_occupancy
Y1 Y 0.0000 0.2500 0.3750 1
As1 As 0.0000 0.2500 0.8139 1
# Total energy ... -19.3 eV per formula unit
# N(E_F) ... 1.30 states/eV/f.u.
# Energy of formation ... -0.76 eV/atom